1.
DFT (PBE) results for a relaxed BaLi2Be crystal.

Results
Volume in Å³/atom: 25.97
E_form in eV/atom: 0.354
DFT total energy in eV per atom: -2.016
Mass density in g cm⁻³: 2.561
Symmetry: Immm (71)
Spin magnetization in Bohr magnetons per cell: 0.0

Cell: 6.083 6.083 6.083 Å, 145.18 125.01 66.76°
Atoms (fractional coordinates):
Li: 0.438 0.438 0.000
Be: 0.250 0.750 0.500
Ba: 0.750 0.250 0.500
Li: 0.062 0.062 0.000


2.
DFT (PBE) results for a relaxed BaLi2Be crystal.

Results
Volume in Å³/atom: 26.56
E_form in eV/atom: 0.311
DFT total energy in eV per atom: -2.058
Mass density in g cm⁻³: 2.504
Symmetry: R-3m (166)
Spin magnetization in Bohr magnetons per cell: 0.0

Cell: 6.407 6.407 6.407 Å, 41.94 41.94 41.94°
Atoms (fractional coordinates):
Ba: 0.250 0.250 0.250
Be: 0.750 0.750 0.750
Li: 0.059 0.059 0.059
Li: 0.441 0.441 0.441


3.
DFT (PBE) results for a relaxed BaLiBe2 crystal.

Results
Volume in Å³/atom: 22.02
E_form in eV/atom: 0.367
Offset from the most stable computed form in meV/atom: 20
DFT total energy in eV per atom: -2.455
Mass density in g cm⁻³: 3.060
Symmetry: C2/m (12)
Spin magnetization in Bohr magnetons per cell: 0.0

Cell: 4.182 4.182 5.832 Å, 87.66 87.66 59.82°
Atoms (fractional coordinates):
Li: 0.250 0.250 0.250
Be: 0.925 0.925 0.243
Be: 0.575 0.575 0.257
Ba: 0.750 0.750 0.750


4.
DFT (PBE) results for a relaxed Ba2LiBe crystal.

Results
Volume in Å³/atom: 41.93
E_form in eV/atom: 0.477
DFT total energy in eV per atom: -1.894
Mass density in g cm⁻³: 2.877
Symmetry: C2/m (12)
Spin magnetization in Bohr magnetons per cell: 0.6

Cell: 4.594 4.594 10.069 Å, 80.70 80.70 53.37°
Atoms (fractional coordinates):
Be: 0.750 0.750 0.750
Ba: 0.019 0.019 0.955
Li: 0.250 0.250 0.250
Ba: 0.481 0.481 0.545


5.
DFT (PBE) results for a relaxed BaLiBe crystal.

Results
Volume in Å³/atom: 36.18
E_form in eV/atom: 0.947
Offset from the most stable computed form in meV/atom: 508
DFT total energy in eV per atom: -1.574
Mass density in g cm⁻³: 2.345
Symmetry: F-43m (216)
Spin magnetization in Bohr magnetons per cell: 0.0

Cell: 5.354 5.354 5.354 Å, 60.00 60.00 60.00°
Atoms (fractional coordinates):
Ba: 0.250 0.250 0.250
Be: 0.000 0.000 0.000
Li: 0.500 0.500 0.500


6.
DFT (PBE) results for a relaxed BaLiBe2 crystal.

Results
Volume in Å³/atom: 22.24
E_form in eV/atom: 0.385
Offset from the most stable computed form in meV/atom: 38
DFT total energy in eV per atom: -2.438
Mass density in g cm⁻³: 3.029
Symmetry: R-3m (166)
Spin magnetization in Bohr magnetons per cell: 0.0

Cell: 6.248 6.248 6.248 Å, 39.54 39.54 39.54°
Atoms (fractional coordinates):
Be: 0.929 0.929 0.929
Li: 0.250 0.250 0.250
Ba: 0.750 0.750 0.750
Be: 0.571 0.571 0.571


7.
DFT (PBE) results for a relaxed Ba2LiBe crystal.

Results
Volume in Å³/atom: 30.69
E_form in eV/atom: 0.438
DFT total energy in eV per atom: -1.933
Mass density in g cm⁻³: 3.932
Symmetry: I-4m2 (119)
Spin magnetization in Bohr magnetons per cell: 0.0

Cell: 5.575 5.575 5.575 Å, 119.90 119.90 90.18°
Atoms (fractional coordinates):
Be: 0.500 0.500 0.000
Ba: 0.250 0.750 0.500
Ba: 0.000 0.000 0.000
Li: 0.750 0.250 0.500


8.
DFT (PBE) results for a relaxed BaLi2BeN crystal.

Results
Volume in Å³/atom: 23.88
Formation energy without anion corrections in eV per atom: 0.98
DFT total energy in eV per atom: -2.579
Mass density in g cm⁻³: 2.423
Symmetry: P4/mmm (123)
Spin magnetization in Bohr magnetons per cell: 1.0

Cell: 4.363 6.273 4.363 Å, 90.00 90.00 90.00°
Atoms (fractional coordinates):
Be: 0.000 0.000 0.000
N: 0.500 0.500 0.500
Ba: 0.000 0.500 0.000
Li: 0.500 0.000 0.000
Li: 0.000 0.000 0.500


9.
DFT (PBE) results for a relaxed BaLiBeO2 crystal.

Results
Volume in Å³/atom: 18.68
Formation energy without anion corrections in eV per atom: -1.84
DFT total energy in eV per atom: -5.331
Mass density in g cm⁻³: 3.293
Symmetry: P2/c (13)
Spin magnetization in Bohr magnetons per cell: 0.0

Cell: 4.962 6.772 5.731 Å, 76.00 90.00 90.00°
Atoms (fractional coordinates):
O: 0.244 0.122 0.964
O: 0.756 0.878 0.036
Ba: 0.751 0.500 0.250
Ba: 0.249 0.500 0.750
Be: 0.000 0.000 0.000
Li: 0.508 0.000 0.750
O: 0.756 0.122 0.464
Li: 0.492 0.000 0.250
O: 0.244 0.878 0.536
Be: 0.000 0.000 0.500


10.
DFT (PBE) results for a relaxed BaLiBe2P2 crystal.

Results
Volume in Å³/atom: 17.60
E_form in eV/atom: -0.564
DFT total energy in eV per atom: -4.249
Mass density in g cm⁻³: 3.525
Symmetry: P-3m1 (164)
Spin magnetization in Bohr magnetons per cell: 0.0

Cell: 3.734 3.734 8.750 Å, 90.00 90.00 120.00°
Atoms (fractional coordinates):
Ba: 0.000 0.000 0.000
Li: 0.000 0.000 0.500
P: 0.333 0.667 0.706
Be: 0.667 0.333 0.703
Be: 0.333 0.667 0.297
P: 0.667 0.333 0.294


11.
DFT (PBE) results for a relaxed BaLiBe2P crystal.

Results
Volume in Å³/atom: 37.35
E_form in eV/atom: 1.499
DFT total energy in eV per atom: -1.841
Mass density in g cm⁻³: 1.718
Symmetry: P4/mmm (123)
Spin magnetization in Bohr magnetons per cell: 0.0

Cell: 5.773 5.604 5.773 Å, 90.00 90.00 90.00°
Atoms (fractional coordinates):
Li: 0.500 0.500 0.500
P: 0.000 0.500 0.000
Be: 0.000 0.000 0.500
Be: 0.500 0.000 0.000
Ba: 0.000 0.000 0.000


12.
DFT (PBE) results for a relaxed BaLiBePt2 crystal.

Results
Volume in Å³/atom: 19.46
E_form in eV/atom: -0.430
DFT total energy in eV per atom: -4.359
Mass density in g cm⁻³: 9.274
Symmetry: P4/mmm (123)
Spin magnetization in Bohr magnetons per cell: 0.0

Cell: 4.531 4.531 4.741 Å, 90.00 90.00 90.00°
Atoms (fractional coordinates):
Pt: 0.000 0.500 0.000
Be: 0.000 0.000 0.000
Pt: 0.500 0.000 0.000
Li: 0.000 0.000 0.500
Ba: 0.500 0.500 0.500


What did the first record say?
DFT (PBE) results for a relaxed BaLi2Be crystal.

Results
Volume in Å³/atom: 25.97
E_form in eV/atom: 0.354
DFT total energy in eV per atom: -2.016
Mass density in g cm⁻³: 2.561
Symmetry: Immm (71)
Spin magnetization in Bohr magnetons per cell: 0.0

Cell: 6.083 6.083 6.083 Å, 145.18 125.01 66.76°
Atoms (fractional coordinates):
Li: 0.438 0.438 0.000
Be: 0.250 0.750 0.500
Ba: 0.750 0.250 0.500
Li: 0.062 0.062 0.000